(1)
12
Lattice="-0.118 4.357 -4.492 -4.790 -3.671 -3.435 -2.633 5.211 5.123" Properties=species:S:1:pos:R:3 comment="AcCdAg3Hg | Alexandria via LeMat-Bulk | PBE | relaxed" sg="Cmcm (63)" energy_ev_per_atom=-2.37 rho_g_cm3=9.50 volume_a3_per_cell=302 ef_ev_per_atom=-0.062 pbc="T T T"
Ac -3.089 5.282 -1.337
Ac -4.452 0.615 -1.467
Cd -6.773 2.173 0.105
Cd -0.768 3.724 -2.909
Ag -1.454 2.046 -0.158
Ag -1.438 -1.102 -1.031
Ag -3.411 -0.390 -4.649
Ag -1.497 1.076 -3.277
Ag -3.352 -2.569 -2.403
Ag -6.087 3.851 -2.646
Hg -3.549 3.452 1.261
Hg -3.992 2.445 -4.065

***

(2)
4
Lattice="-0.615 2.060 2.122 1.422 -1.695 2.057 6.068 3.319 -1.462" Properties=species:S:1:pos:R:3 comment="HfAl2Rh | Alexandria via LeMat-Bulk | PBE | relaxed" sg="P4/mmm (123)" energy_ev_per_atom=-6.91 rho_g_cm3=8.63 volume_a3_per_cell=65 ef_ev_per_atom=-0.716 pbc="T T T"
Rh 0.404 0.183 2.090
Hf 3.438 1.842 1.359
Al 4.801 2.626 -1.157
Al 1.267 0.693 -0.305

***

(3)
6
Lattice="-2.407 0.146 -2.350 -7.702 -1.101 5.405 0.309 3.717 -0.086" Properties=species:S:1:pos:R:3 comment="CaTaH | Alexandria via LeMat-Bulk | PBE | relaxed" sg="Cm (8)" energy_ev_per_atom=-5.73 rho_g_cm3=6.42 volume_a3_per_cell=115 de_polymorph_kcal_per_mol_atoms=2.13 pbc="T T T"
H -7.326 0.600 3.478
H -1.190 -0.004 -0.431
Ca -3.651 0.209 -0.311
Ca -8.578 2.553 2.468
Ta -3.877 2.163 2.454
Ta -5.958 0.454 2.067

***

Short version: Fermi-level density of states = 5.62 3.46 2.75 states/eV per cell, in the order given.